# MnZnPt2 GGA-PBE relaxed
# Formation enthalpy at 0 K ... -0.20 eV/atom
# Crystal system ... trigonal
# Space group ... No. 160
data_MnZnPt2
_chemical_formula_sum 'Mn3 Zn3 Pt6'
_space_group_name_H-M_alt 'P 1'
_space_group_IT_number 1
_cell_length_a 2.785
_cell_length_b 2.785
_cell_length_c 26.493
_cell_angle_alpha 90.00
_cell_angle_beta 90.00
_cell_angle_gamma 120.00
loop_
_space_group_symop_operation_xyz
'x,y,z'
loop_
_atom_site_label
_atom_site_fract_x
_atom_site_fract_y
_atom_site_fract_z
Mn1 0.000 0.000 0.000
Mn2 0.333 0.667 0.667
Mn3 0.667 0.333 0.333
Zn1 0.000 0.000 0.253
Zn2 0.333 0.667 0.920
Zn3 0.667 0.333 0.587
Pt1 0.000 0.000 0.507
Pt2 0.000 0.000 0.747
Pt3 0.333 0.667 0.173
Pt4 0.333 0.667 0.414
Pt5 0.667 0.333 0.080
Pt6 0.667 0.333 0.840